Compound: Li3CrO3
Source: Alexandria via LeMat-Bulk
Functional: GGA+U
Structure: optimized geometry

Output
Magnetic moment = 3.00 μB per formula unit
Energy = -5.82 eV/atom
Space group = P2_13
DOS at the Fermi energy = 0.00 states/eV/cell

Lattice parameters (Å, degrees): 6.131 6.131 6.131 90.00 90.00 90.00
Element x y z (fractional)
Li: 0.691 0.691 0.691
Li: 0.678 0.322 0.822
O: 0.240 0.136 0.495
Cr: 0.418 0.418 0.418
Cr: 0.918 0.082 0.582
O: 0.260 0.864 0.995
O: 0.995 0.260 0.864
Cr: 0.082 0.582 0.918
Li: 0.809 0.309 0.191
O: 0.495 0.240 0.136
Li: 0.822 0.678 0.322
O: 0.760 0.636 0.005
Li: 0.464 0.536 0.036
Li: 0.036 0.464 0.536
O: 0.505 0.740 0.364
O: 0.364 0.505 0.740
Cr: 0.582 0.918 0.082
Li: 0.322 0.822 0.678
O: 0.740 0.364 0.505
Li: 0.964 0.964 0.964
Li: 0.536 0.036 0.464
O: 0.005 0.760 0.636
Li: 0.191 0.809 0.309
Li: 0.309 0.191 0.809
O: 0.864 0.995 0.260
O: 0.136 0.495 0.240
O: 0.636 0.005 0.760
Li: 0.178 0.178 0.178